Record 1
VASP calculation (PBEsol) on crystalline SrMnGa2Co at its relaxed geometry.

extended XYZ file:
```
5
Lattice="5.4445 0.0000 0.0000 0.0000 5.4445 0.0000 0.0000 0.0000 4.5796" Properties=species:S:1:pos:R:3 pbc="T T T"
Sr 0.0000 0.0000 0.0000
Mn 2.7222 2.7222 2.2898
Ga 0.0000 2.7222 0.0000
Ga 2.7222 0.0000 0.0000
Co 0.0000 0.0000 2.2898
```

## Properties
energy	-17.168	eV/cell
space group	P4/mmm


Record 2
VASP calculation (PBEsol) on crystalline MnV2Ga2Co3 at its relaxed geometry.

extended XYZ file:
```
16
Lattice="5.6689 0.0000 0.0000 0.0000 5.6689 0.0000 0.0000 0.0000 5.6689" Properties=species:S:1:pos:R:3 pbc="T T T"
Mn 1.4172 1.4172 1.4172
Mn 4.2517 4.2517 4.2517
V 0.0000 0.0000 0.0000
V 0.0000 2.8345 2.8345
V 2.8345 0.0000 2.8345
V 2.8345 2.8345 0.0000
Ga 0.0000 0.0000 2.8345
Ga 0.0000 2.8345 0.0000
Ga 2.8345 0.0000 0.0000
Ga 2.8345 2.8345 2.8345
Co 1.4172 1.4172 4.2517
Co 1.4172 4.2517 1.4172
Co 1.4172 4.2517 4.2517
Co 4.2517 1.4172 1.4172
Co 4.2517 1.4172 4.2517
Co 4.2517 4.2517 1.4172
```

## Properties
energy	-123.112	eV/cell
space group	Pn-3m


Record 3
VASP calculation (PBEsol) on crystalline Mn3V2Ga2Co at its relaxed geometry.

extended XYZ file:
```
8
Lattice="2.0122 1.1618 6.5832 -2.0122 1.1618 6.5832 0.0000 -2.3235 6.5832" Properties=species:S:1:pos:R:3 pbc="T T T"
Mn 0.0000 0.0000 0.0000
Mn 0.0000 0.0000 4.9343
Mn 0.0000 0.0000 14.7901
V 0.0000 0.0000 7.3734
V 0.0000 0.0000 17.3040
Ga 0.0000 0.0000 2.4785
Ga 0.0000 0.0000 12.3173
Co 0.0000 0.0000 9.8648
```

## Properties
energy	-65.165	eV/cell
space group	R3m


Record 4
VASP calculation (PBEsol) on crystalline GaCoN2O at its relaxed geometry.

extended XYZ file:
```
5
Lattice="3.8266 0.0000 0.0000 0.0000 3.8266 0.0000 0.0000 0.0000 3.5714" Properties=species:S:1:pos:R:3 pbc="T T T"
Ga 0.0000 0.0000 0.0000
Co 1.9133 1.9133 0.0000
N 0.0000 1.9133 1.7857
N 1.9133 0.0000 1.7857
O 0.0000 0.0000 1.7857
```

## Properties
energy	-24.823	eV/cell
space group	P4/mmm


Record 5
VASP calculation (PBEsol) on crystalline NaGa3Co at its relaxed geometry.

extended XYZ file:
```
5
Lattice="4.5231 0.0000 0.0000 0.0000 4.5231 0.0000 0.0000 0.0000 4.5231" Properties=species:S:1:pos:R:3 pbc="T T T"
Na 0.0000 0.0000 0.0000
Ga 0.0000 2.2615 2.2615
Ga 2.2615 0.0000 2.2615
Ga 2.2615 2.2615 0.0000
Co 2.2615 2.2615 2.2615
```

## Properties
energy	-20.062	eV/cell
space group	Pm-3m


Record 6
VASP calculation (PBEsol) on crystalline NbGa3Co at its relaxed geometry.

extended XYZ file:
```
5
Lattice="4.8761 0.0000 0.0000 0.0000 4.8761 0.0000 0.0000 0.0000 4.8761" Properties=species:S:1:pos:R:3 pbc="T T T"
Nb 0.0000 0.0000 0.0000
Ga 0.0000 0.0000 2.4380
Ga 0.0000 2.4380 0.0000
Ga 2.4380 0.0000 0.0000
Co 2.4380 2.4380 2.4380
```

## Properties
energy	-22.600	eV/cell
space group	Pm-3m


Record 7
VASP calculation (PBEsol) on crystalline Nb2GaCo2 at its relaxed geometry.

extended XYZ file:
```
10
Lattice="6.7533 0.0000 0.0000 0.0000 6.7533 0.0000 0.0000 0.0000 3.0821" Properties=species:S:1:pos:R:3 pbc="T T T"
Nb 1.1816 2.1950 0.0000
Nb 2.1950 5.5717 0.0000
Nb 4.5583 1.1816 0.0000
Nb 5.5717 4.5583 0.0000
Ga 0.0000 0.0000 1.5410
Ga 3.3767 3.3767 1.5410
Co 0.8584 4.2350 1.5410
Co 2.5183 0.8584 1.5410
Co 4.2350 5.8949 1.5410
Co 5.8949 2.5183 1.5410
```

## Properties
energy	-83.406	eV/cell
space group	P4/mbm


Record 8
VASP calculation (PBEsol) on crystalline NbGa2Co at its relaxed geometry.

extended XYZ file:
```
4
Lattice="0.0000 3.0455 3.0455 3.0455 0.0000 3.0455 3.0455 3.0455 0.0000" Properties=species:S:1:pos:R:3 pbc="T T T"
Nb 0.0000 0.0000 0.0000
Ga 1.5228 1.5228 1.5228
Ga 4.5683 4.5683 4.5683
Co 3.0455 3.0455 3.0455
```

## Properties
energy	-25.410	eV/cell
space group	Fm-3m


Record 9
VASP calculation (PBEsol) on crystalline NdGaCo at its relaxed geometry.

extended XYZ file:
```
12
Lattice="6.7817 0.0000 0.0000 0.0000 4.1103 0.0000 0.0000 0.0000 7.7052" Properties=species:S:1:pos:R:3 pbc="T T T"
Nd 0.1932 1.0276 1.4229
Nd 3.1976 3.0827 5.2755
Nd 3.5841 1.0276 2.4297
Nd 6.5885 3.0827 6.2823
Ga 1.0067 1.0276 4.3429
Ga 2.3842 3.0827 0.4903
Ga 4.3975 1.0276 7.2149
Ga 5.7750 3.0827 3.3623
Co 1.4960 3.0827 2.9355
Co 1.8949 1.0276 6.7881
Co 4.8868 3.0827 0.9171
Co 5.2857 1.0276 4.7697
```

## Properties
energy	-69.891	eV/cell
space group	Pnma


Record 10
VASP calculation (PBEsol) on crystalline Nd2Ga9Co3 at its relaxed geometry.

extended XYZ file:
```
28
Lattice="6.3233 -3.6814 0.0000 6.3233 3.6814 0.0000 0.0000 0.0000 9.4224" Properties=species:S:1:pos:R:3 pbc="T T T"
Nd 4.2468 2.4521 7.0668
Nd 8.3998 2.4521 7.0668
Nd 4.2468 -2.4521 2.3556
Nd 8.3998 -2.4521 2.3556
Ga 4.2272 2.4392 0.6587
Ga 4.2272 2.4392 4.0524
Ga 6.3233 2.7589 2.3556
Ga 8.4194 2.4392 0.6587
Ga 8.4194 2.4392 4.0524
Ga 6.3233 1.2137 5.2154
Ga 6.3233 1.2137 8.9181
Ga 4.9934 0.4240 2.3556
Ga 4.9934 -0.4240 7.0668
Ga 7.6532 0.4240 2.3556
Ga 7.6532 -0.4240 7.0668
Ga 6.3233 -1.2137 0.5042
Ga 6.3233 -1.2137 4.2070
Ga 4.2272 -2.4392 5.3699
Ga 4.2272 -2.4392 8.7636
Ga 6.3233 -2.7589 7.0668
Ga 8.4194 -2.4392 5.3699
Ga 8.4194 -2.4392 8.7636
Co 0.0000 0.0000 0.0000
Co 0.0000 0.0000 4.7112
Co 4.1698 0.0000 0.0000
Co 4.1698 0.0000 4.7112
Co 8.4768 0.0000 0.0000
Co 8.4768 0.0000 4.7112
```

## Properties
energy	-142.057	eV/cell
space group	Cmcm


Record 11
VASP calculation (PBEsol) on crystalline Nd3GaCo3 at its relaxed geometry.

extended XYZ file:
```
14
Lattice="2.0450 -5.0481 0.0000 2.0450 5.0481 0.0000 0.0000 0.0000 13.0037" Properties=species:S:1:pos:R:3 pbc="T T T"
Nd 2.0450 5.0130 9.7528
Nd 2.0450 2.1447 1.3499
Nd 2.0450 2.1447 5.1520
Nd 2.0450 -2.1447 7.8518
Nd 2.0450 -2.1447 11.6538
Nd 2.0450 -5.0130 3.2509
Ga 0.0000 0.0000 0.0000
Ga 0.0000 0.0000 6.5019
Co 2.0450 1.9235 9.7528
Co 2.0450 0.7759 7.7101
Co 2.0450 0.7759 11.7955
Co 2.0450 -0.7759 1.2082
Co 2.0450 -0.7759 5.2937
Co 2.0450 -1.9235 3.2509
```

## Properties
energy	-87.238	eV/cell
space group	Cmcm


Record 12
VASP calculation (PBEsol) on crystalline Nd3GaCoS7 at its relaxed geometry.

extended XYZ file:
```
24
Lattice="9.6484 0.0000 0.0000 -4.8242 8.3557 0.0000 0.0000 0.0000 6.1416" Properties=species:S:1:pos:R:3 pbc="T T T"
Nd -0.2129 3.1291 0.0000
Nd -2.0078 6.9756 0.0000
Nd 2.6034 1.7490 3.0708
Nd 2.2208 6.6068 0.0000
Nd 6.8320 1.3801 3.0708
Nd 5.0371 5.2267 3.0708
Ga 0.0000 5.5705 3.5531
Ga 4.8242 2.7852 0.4823
Co 0.0000 0.0000 0.9921
Co 0.0000 0.0000 4.0629
S -1.8867 4.6614 4.4190
S -0.1144 1.8131 2.5139
S -3.1968 7.5483 2.5139
S 1.5130 1.0056 5.5847
S 0.0000 5.5705 1.3225
S 1.7307 4.3911 4.4190
S 0.1560 7.6590 4.4190
S 4.6682 0.6968 1.3482
S 3.0935 3.9646 1.3482
S 4.8242 2.7852 4.3933
S 3.3112 7.3501 2.5139
S 8.0210 0.8075 5.5847
S 4.9386 6.5427 5.5847
S 6.7109 3.6944 1.3482
```

## Properties
energy	-150.960	eV/cell
space group	P6_3


Record 13
VASP calculation (PBEsol) on crystalline GaCo2PtO at its relaxed geometry.

extended XYZ file:
```
5
Lattice="3.6766 0.0000 0.0000 0.0000 3.6766 0.0000 0.0000 0.0000 4.3637" Properties=species:S:1:pos:R:3 pbc="T T T"
Ga 0.0000 0.0000 0.0000
Co 0.0000 1.8383 2.1819
Co 1.8383 0.0000 2.1819
Pt 1.8383 1.8383 0.0000
O 0.0000 0.0000 2.1819
```

## Properties
energy	-32.552	eV/cell
space group	P4/mmm


Record 14
VASP calculation (PBEsol) on crystalline GaCo2P at its relaxed geometry.

extended XYZ file:
```
4
Lattice="0.0000 2.8036 2.8036 2.8036 0.0000 2.8036 2.8036 2.8036 0.0000" Properties=species:S:1:pos:R:3 pbc="T T T"
Ga 0.0000 0.0000 0.0000
Co 1.4018 1.4018 1.4018
Co 4.2054 4.2054 4.2054
P 2.8036 2.8036 2.8036
```

## Properties
energy	-25.493	eV/cell
space group	Fm-3m


Record 15
VASP calculation (PBEsol) on crystalline SrGaCoP2 at its relaxed geometry.

extended XYZ file:
```
5
Lattice="4.5299 0.0000 0.0000 0.0000 4.5299 0.0000 0.0000 0.0000 4.5101" Properties=species:S:1:pos:R:3 pbc="T T T"
Sr 0.0000 0.0000 0.0000
Ga 2.2650 2.2650 0.0000
Co 2.2650 2.2650 2.2551
P 0.0000 2.2650 2.2551
P 2.2650 0.0000 2.2551
```

## Properties
energy	-25.603	eV/cell
space group	P4/mmm


Record 16
VASP calculation (PBEsol) on crystalline GaCoPb3 at its relaxed geometry.

extended XYZ file:
```
5
Lattice="5.0138 0.0000 0.0000 0.0000 5.0138 0.0000 0.0000 0.0000 5.0138" Properties=species:S:1:pos:R:3 pbc="T T T"
Ga 0.0000 0.0000 0.0000
Co 2.5069 2.5069 2.5069
Pb 0.0000 2.5069 2.5069
Pb 2.5069 0.0000 2.5069
Pb 2.5069 2.5069 0.0000
```

## Properties
energy	-21.615	eV/cell
space group	Pm-3m


Record 17
VASP calculation (PBEsol) on crystalline Ga2Co2Pd at its relaxed geometry.

extended XYZ file:
```
5
Lattice="-1.6403 1.6403 6.3061 1.6403 -1.6403 6.3061 1.6403 1.6403 -6.3061" Properties=species:S:1:pos:R:3 pbc="T T T"
Ga 0.0000 0.0000 1.3349
Ga 0.0000 0.0000 11.2774
Co 1.6403 0.0000 3.1531
Co 0.0000 1.6403 3.1531
Pd 0.0000 0.0000 6.3061
```

## Properties
energy	-28.426	eV/cell
space group	I4/mmm


Record 18
VASP calculation (PBEsol) on crystalline PrGa2Co3 at its relaxed geometry.

extended XYZ file:
```
6
Lattice="5.2391 0.0000 0.0000 -2.6195 4.5372 0.0000 0.0000 0.0000 3.7154" Properties=species:S:1:pos:R:3 pbc="T T T"
Pr 0.0000 0.0000 0.0000
Ga 0.0000 3.0248 0.0000
Ga 2.6195 1.5124 0.0000
Co -1.3098 2.2686 1.8577
Co 2.6195 0.0000 1.8577
Co 1.3098 2.2686 1.8577
```

## Properties
energy	-37.139	eV/cell
space group	P6/mmm


Record 19
VASP calculation (PBEsol) on crystalline PrGaCo at its relaxed geometry.

extended XYZ file:
```
12
Lattice="7.3048 0.0000 0.0000 0.0000 4.5130 0.0000 0.0000 0.0000 6.6444" Properties=species:S:1:pos:R:3 pbc="T T T"
Pr 0.2695 1.1283 1.2228
Pr 3.3829 3.3848 4.5449
Pr 3.9219 1.1283 2.0994
Pr 7.0353 3.3848 5.4216
Ga 1.3555 1.1283 4.1017
Ga 2.2969 3.3848 0.7795
Ga 5.0079 1.1283 5.8649
Ga 5.9493 3.3848 2.5427
Co 1.0421 3.3848 2.9007
Co 2.6103 1.1283 6.2229
Co 4.6945 3.3848 0.4215
Co 6.2627 1.1283 3.7437
```

## Properties
energy	-70.101	eV/cell
space group	Pnma


Record 20
VASP calculation (PBEsol) on crystalline PrGa8Co2 at its relaxed geometry.

extended XYZ file:
```
44
Lattice="12.2439 0.0000 0.0000 0.0000 14.1848 0.0000 0.0000 0.0000 3.9938" Properties=species:S:1:pos:R:3 pbc="T T T"
Pr 1.9290 2.5469 0.0000
Pr 4.1929 9.6393 0.0000
Pr 8.0509 4.5455 0.0000
Pr 10.3149 11.6379 0.0000
Ga 0.0000 0.0000 0.0000
Ga 0.0000 7.0924 1.9969
Ga 0.2885 12.3115 1.9969
Ga 0.6000 4.5287 1.9969
Ga 1.2028 10.5995 0.0000
Ga 1.9488 6.4626 0.0000
Ga 1.9891 8.8217 1.9969
Ga 2.1020 0.1273 1.9969
Ga 2.9262 11.7007 1.9969
Ga 3.1957 4.6083 1.9969
Ga 4.0200 7.2197 1.9969
Ga 4.1328 1.7294 1.9969
Ga 4.1731 13.5550 0.0000
Ga 4.9191 3.5071 0.0000
Ga 5.5219 11.6211 1.9969
Ga 5.8334 5.2191 1.9969
Ga 6.1219 0.0000 1.9969
Ga 6.1219 7.0924 0.0000
Ga 6.4104 8.9657 1.9969
Ga 6.7220 2.5637 1.9969
Ga 7.3247 10.6777 0.0000
Ga 8.0707 0.6298 0.0000
Ga 8.1111 12.4554 1.9969
Ga 8.2239 6.9651 1.9969
Ga 9.0481 9.5765 1.9969
Ga 9.3177 2.4841 1.9969
Ga 10.1419 14.0575 1.9969
Ga 10.2547 5.3630 1.9969
Ga 10.2951 7.7222 0.0000
Ga 11.0411 3.5853 0.0000
Ga 11.6438 9.6561 1.9969
Ga 11.9554 1.8733 1.9969
Co 0.4283 8.4410 0.0000
Co 1.8870 12.8247 0.0000
Co 4.2349 5.7323 0.0000
Co 5.6936 1.3486 0.0000
Co 6.5502 12.8362 0.0000
Co 8.0089 8.4525 0.0000
Co 10.3569 1.3601 0.0000
Co 11.8156 5.7438 0.0000
```

## Properties
energy	-208.462	eV/cell
space group	Pbam